1.
## LiMgNb2 (GGA-PBE)

Data for LiMgNb2 after structural relaxation.

Lattice parameters (Å, degrees): 7.5648 7.5648 5.1147 90.00 90.00 90.00
Closest atoms and distances in Å follow each position.
Space group I-42d (No. 122)
Inequivalent atoms, fractional coordinates:
Li 0.0000 0.0000 0.0000 x4  2 Mg 2.56, 4 Nb 2.68
Mg 0.0000 0.0000 0.5000 x4  2 Li 2.56, 4 Nb 2.82
Nb 0.2369 0.2500 0.1250 x8  2 Nb 2.57, 2 Li 2.68, 2 Mg 2.82

Fermi-level density of states in states/eV/atom: 0.70
Final energy in eV for the cell shown: -83.6
Calculated formation energy in eV/atom: 0.686

=====

2.
## Pm6Cd5Sn (GGA-PBE)

Data for Pm6Cd5Sn after structural relaxation.

Lattice parameters (Å, degrees): 5.4082 16.3030 7.6755 90.00 90.00 90.00
Closest atoms and distances in Å follow each position.
Space group Cmmm (No. 65)
Inequivalent atoms, fractional coordinates:
Pm 0.0000 0.0000 0.2461 x4  2 Sn 3.30, 6 Cd 3.33-3.42
Pm 0.0000 0.3350 0.2512 x8  7 Cd 3.25-3.34, 1 Sn 3.31
Cd 0.0000 0.1671 0.5000 x4  8 Pm 3.31-3.35
Cd 0.0000 0.1745 0.0000 x4  8 Pm 3.25-3.42
Cd 0.0000 0.5000 0.5000 x2  8 Pm 3.30-3.33
Sn 0.0000 0.5000 0.0000 x2  8 Pm 3.30-3.31

Fermi-level density of states in states/eV/atom: 1.34
Final energy in eV for the cell shown: -83.6
Calculated formation energy in eV/atom: -0.395

=====

3.
## Ce4InRu (GGA-PBE)

Data for Ce4InRu after structural relaxation.

Lattice parameters (Å, degrees): 16.1988 7.2008 5.8185 90.00 110.67 90.00
Closest atoms and distances in Å follow each position.
Space group C2/m (No. 12)
Inequivalent atoms, fractional coordinates:
Ce 0.0000 0.1945 0.0000 x4  2 Ru 2.66, 1 Ce 2.80
Ce 0.1220 0.2364 0.6218 x8  2 Ru 2.90-3.12
Ce 0.1914 0.5000 0.1949 x4  2 Ru 3.13-3.40, 2 Ce 3.30, 2 In 3.37
In 0.1961 0.0000 0.1953 x4  12 Ce 3.29-3.60
Ru 0.0111 0.5000 0.7549 x4  4 Ce 2.66-2.90, 1 Ru 2.86

Polymorph energy (0 for the lowest one) in eV/atom: 0.000
Fermi-level density of states in states/eV/atom: 2.99
Final energy in eV for the cell shown: -148.9
Calculated formation energy in eV/atom: -0.245